(1)
Entry from the Alexandria database: a relaxed SrCuCl2 crystal (GGA-PBE).

- calculated density (g/cm³) = 3.86
- uncorrected formation energy (eV/atom) = -0.79
- energy above the lowest structure with this stoichiometry (meV per atom) = 289.4

The structure in POSCAR format:
```
SrCuCl2
1.0
0.000 3.627 3.627
3.627 0.000 3.627
3.627 3.627 0.000
Sr Cu Cl
1 1 2
direct
0.000 0.000 0.000
0.250 0.250 0.250
0.500 0.500 0.500
0.750 0.750 0.750
```

(2)
Entry from the Alexandria database: a relaxed SrCuCl2 crystal (GGA-PBE).

- calculated density (g/cm³) = 3.97
- uncorrected formation energy (eV/atom) = -1.06
- energy above the lowest structure with this stoichiometry (meV per atom) = 16.3

The structure in POSCAR format:
```
SrCuCl2
1.0
0.000 3.596 3.596
3.596 0.000 3.596
3.596 3.596 0.000
Sr Cu Cl
1 1 2
direct
0.000 0.000 0.000
0.500 0.500 0.500
0.250 0.250 0.250
0.750 0.750 0.750
```

(3)
Entry from the Alexandria database: a relaxed SrCuCl3 crystal (GGA-PBE).

- calculated density (g/cm³) = 3.44
- uncorrected formation energy (eV/atom) = -1.60
- energy above the lowest structure with this stoichiometry (meV per atom) = 30.8

The structure in POSCAR format:
```
SrCuCl3
1.0
6.269 -4.516 0.000
6.269 4.516 0.000
-0.066 0.000 4.395
Sr Cu Cl
2 2 6
direct
0.000 0.000 0.000
0.524 0.524 0.504
0.072 0.452 0.251
0.452 0.072 0.251
0.094 0.709 0.491
0.158 0.158 0.499
0.366 0.366 0.004
0.430 0.815 0.013
0.709 0.094 0.491
0.815 0.430 0.013
```